Arrangement 1

Entry from the Alexandria database: a relaxed Ho2ErSc crystal (GGA-PBE).

```
Ho2ErSc
1.0
4.8893 0.0000 0.0000
0.0000 4.8893 0.0000
0.0000 0.0000 4.8766
Ho Er Sc
2 1 1
direct
0.0000 0.5000 0.0000 Ho
0.5000 0.0000 0.0000 Ho
0.0000 0.0000 0.5000 Er
0.5000 0.5000 0.5000 Sc
```

Results
spin magnetization: 0.00 μB/cell

Arrangement 2

Entry from the Alexandria database: a relaxed Ho2ErSc crystal (GGA-PBE).

```
Ho2ErSc
1.0
3.0167 -1.7420 0.0000
3.0167 1.7420 0.0000
-2.0104 0.0000 11.1356
Ho Er Sc
2 1 1
direct
0.0000 0.0000 0.0000 Ho
0.1600 0.1600 0.4816 Ho
0.5791 0.5791 0.7399 Er
0.4142 0.4142 0.2423 Sc
```

Results
spin magnetization: 0.00 μB/cell

The structure with the most favorable energy is arrangement 2; the runner-up is 14 meV/atom above it.

Arrangement 1

Entry from the Alexandria database: a relaxed Ho6Er12Sc crystal (GGA-PBE).

```
Ho6Er12Sc
1.0
6.4658 3.7330 4.1635
-6.4658 3.7330 4.1635
0.0000 -7.4660 4.1635
Ho Er Sc
6 12 1
direct
0.1620 0.5958 0.5958 Ho
0.4042 0.4042 0.8380 Ho
0.4042 0.8380 0.4042 Ho
0.5958 0.1620 0.5958 Ho
0.5958 0.5958 0.1620 Ho
0.8380 0.4042 0.4042 Ho
0.0000 0.2574 0.7426 Er
0.0000 0.7426 0.2574 Er
0.1459 0.1459 0.4166 Er
0.1459 0.4166 0.1459 Er
0.2574 0.0000 0.7426 Er
0.2574 0.7426 0.0000 Er
0.4166 0.1459 0.1459 Er
0.5834 0.8541 0.8541 Er
0.7426 0.0000 0.2574 Er
0.7426 0.2574 0.0000 Er
0.8541 0.5834 0.8541 Er
0.8541 0.8541 0.5834 Er
0.5000 0.5000 0.5000 Sc
```

Results
spin magnetization: 0.00 μB/cell

Arrangement 2

Entry from the Alexandria database: a relaxed Ho6Er12Sc crystal (GGA-PBE).

```
Ho6Er12Sc
1.0
6.0360 3.4849 4.7086
-6.0360 3.4849 4.7086
0.0000 -6.9698 4.7086
Ho Er Sc
6 12 1
direct
0.2295 0.7644 0.3812 Ho
0.2356 0.6188 0.7705 Ho
0.3812 0.2295 0.7644 Ho
0.6188 0.7705 0.2356 Ho
0.7644 0.3812 0.2295 Ho
0.7705 0.2356 0.6188 Ho
0.0256 0.2912 0.9633 Er
0.0367 0.9744 0.7088 Er
0.1287 0.3498 0.4507 Er
0.2912 0.9633 0.0256 Er
0.3498 0.4507 0.1287 Er
0.4507 0.1287 0.3498 Er
0.5493 0.8713 0.6502 Er
0.6502 0.5493 0.8713 Er
0.7088 0.0367 0.9744 Er
0.8713 0.6502 0.5493 Er
0.9633 0.0256 0.2912 Er
0.9744 0.7088 0.0367 Er
0.5000 0.5000 0.5000 Sc
```

Results
spin magnetization: 0.00 μB/cell

The structure with the most favorable energy is arrangement 2; the runner-up is 46 meV/atom above it.

Arrangement 1

Entry from the Alexandria database: a relaxed Ho3Er8Sc2 crystal (GGA-PBE).

```
Ho3Er8Sc2
1.0
7.2880 -4.5002 0.0000
7.2880 4.5002 0.0000
-2.1734 0.0000 6.2472
Ho Er Sc
3 8 2
direct
0.0000 0.0000 0.0000 Ho
0.1712 0.8288 0.5000 Ho
0.8288 0.1712 0.5000 Ho
0.1906 0.1906 0.8952 Er
0.1991 0.5613 0.8087 Er
0.4101 0.4101 0.2780 Er
0.4387 0.8009 0.1913 Er
0.5613 0.1991 0.8087 Er
0.5899 0.5899 0.7220 Er
0.8009 0.4387 0.1913 Er
0.8094 0.8094 0.1048 Er
0.2040 0.2040 0.4225 Sc
0.7960 0.7960 0.5775 Sc
```

Results
spin magnetization: 0.00 μB/cell

Arrangement 2

Entry from the Alexandria database: a relaxed Ho3Er8Sc2 crystal (GGA-PBE).

```
Ho3Er8Sc2
1.0
9.6850 -3.7871 0.0000
9.6850 3.7871 0.0000
-0.0020 0.0000 5.5108
Ho Er Sc
3 8 2
direct
0.0000 0.0000 0.0000 Ho
0.2859 0.7141 0.5000 Ho
0.7141 0.2859 0.5000 Ho
0.1352 0.1352 0.4999 Er
0.1773 0.5980 0.9998 Er
0.3247 0.3247 0.4994 Er
0.4020 0.8227 0.0002 Er
0.5980 0.1773 0.9998 Er
0.6753 0.6753 0.5006 Er
0.8227 0.4020 0.0002 Er
0.8648 0.8648 0.5001 Er
0.2411 0.2411 0.9994 Sc
0.7589 0.7589 0.0006 Sc
```

Results
spin magnetization: 0.00 μB/cell

The structure with the most favorable energy is arrangement 1; the runner-up is 6 meV/atom above it.